Pr6NdSm12, relaxed, DFT PBE; calculated formation energy = 0.198 eV/atom; distance to the lowest polymorph of the same formula = 115.6 kJ/mol of formula units
1.0
8.834 -0.195 -1.247
-1.409 8.723 -1.247
-0.170 -0.195 8.920
Sm Pr Nd
12 6 1
Cartesian
4.630 5.318 6.576
5.948 4.167 0.592
2.626 3.016 -0.151
1.307 4.167 5.833
3.947 1.868 5.833
3.308 6.465 0.592
7.088 5.318 3.801
0.988 6.465 3.213
4.292 7.752 3.801
0.168 3.016 2.624
2.964 0.581 2.624
6.268 1.868 3.213
0.598 0.687 5.631
6.657 7.646 0.794
-0.098 5.703 -0.087
1.593 7.646 6.512
5.662 0.687 -0.087
7.354 2.630 6.512
0.000 0.000 0.000

=====

AcPm2In2Ga2, relaxed, DFT PBE; calculated formation energy = -0.341 eV/atom
1.0
4.683 0.000 0.000
2.342 4.056 0.000
2.342 1.352 10.607
In Pm Ga Ac
2 2 2 1
Cartesian
7.025 4.056 8.439
2.342 1.352 2.168
7.025 4.056 4.192
2.342 1.352 6.415
4.683 2.704 2.822
4.683 2.704 7.785
0.000 0.000 0.000

=====

AcPaCuO5, relaxed, DFT PBE; uncorrected formation energy = -62.6 kcal/mol of atoms
1.0
6.055 -0.235 0.039
-1.992 5.722 0.039
-1.635 -2.209 7.473
O Ac Cu Pa
10 2 2 2
Cartesian
0.061 0.780 4.331
2.366 2.498 3.220
-1.688 4.643 1.907
0.881 1.888 6.956
4.660 1.266 0.800
1.546 1.391 0.595
3.395 -0.443 3.014
-0.967 3.722 4.537
-2.232 2.013 6.751
4.116 -1.364 5.644
0.300 3.171 1.907
2.128 0.108 5.644
3.029 1.150 1.907
-0.601 2.128 5.644
-0.818 -1.104 3.736
0.000 0.000 0.000

=====

La8HRh3Br3, relaxed, DFT PBE; total energy = -5.5703 eV/atom
1.0
-7.592 -0.498 -3.378
1.531 -3.588 7.347
-0.508 9.021 -0.189
Rh La Br H
3 8 3 1
Cartesian
-3.285 2.468 1.890
0.511 2.716 3.579
-4.050 4.262 -1.783
-4.432 2.509 4.506
-5.902 2.177 -2.400
-5.147 0.398 1.252
-0.668 2.758 6.180
-2.137 2.426 -0.725
-1.423 4.537 2.529
-5.216 4.292 0.832
-1.354 0.643 2.949
-3.031 -2.043 1.985
0.765 -1.794 3.673
0.000 0.000 0.000
-0.254 4.510 -0.094

=====

Ca2TeW, relaxed, DFT PBE; uncorrected formation energy = 8.5 kcal/mol of atoms; distance to the lowest polymorph of the same formula = 63.9 kJ/mol of formula units
1.0
-4.584 -1.681 -3.133
0.255 -3.261 4.791
-1.744 2.019 1.467
Ca W Te
2 1 1
Cartesian
-2.164 -2.471 0.829
0.000 0.000 0.000
-0.744 -0.621 3.129
-3.164 0.169 -0.833

=====

KMoAu2, relaxed, DFT PBE; calculated formation energy = 0.500 eV/atom; distance to the lowest polymorph of the same formula = 82.8 kJ/mol of formula units
1.0
10.532 -0.029 -0.017
10.120 2.919 -0.017
10.120 1.416 2.553
Au Mo K
2 1 1
Cartesian
0.292 0.041 0.024
15.094 2.112 1.235
23.079 3.230 1.889
7.693 1.077 0.630